## LaHoTh (PBE-GGA)

Data for a geometry-optimized LaHoTh structure.

Values from the calculation:
- Electronic total energy: -5.612 eV per atom
- Energy of formation from the pure elements: 0.03 eV/atom
- E above lowest polymorph: 0.1 kJ/mol of atoms

Unit cell a=3.6223 b=3.6223 c=15.3024 alpha=90.00 beta=90.00 gamma=90.00
Last column: nearest neighbours and their distance in Å.
Space group I4mm (No. 107)
Inequivalent atoms, fractional coordinates:
La  0.0000  0.0000  0.0000 [2 per cell]  4 Th 3.56, 4 La 3.62, 4 Ho 3.81
Ho  0.0000  0.0000  0.6843 [2 per cell]  4 Th 3.48, 4 Ho 3.62, 4 La 3.81
Th  0.0000  0.0000  0.3380 [2 per cell]  4 Ho 3.48, 4 La 3.56, 4 Th 3.62